1.
Cs2Te2Au, optimized geometry, DFT PBE; magnetic moment = 0.00 μB per cell; SG = P4/mbm; raw formation energy = -0.527 eV per atom
1.0
-4.4414 1.6063 -6.4487
3.2298 -6.2570 -3.7830
-4.4088 -3.5735 2.1464
Cs Te Au
4 4 2
Cartesian
-0.7828 -5.6572 -2.4506 Cs
-2.4192 -5.9861 -6.3594 Cs
-4.8377 -2.5670 -5.6346 Cs
-3.2013 -2.2381 -1.7259 Cs
1.2081 -4.6897 -5.3261 Te
-1.5661 -2.8142 -7.9022 Te
-2.4198 0.0390 -4.9055 Te
0.3544 -1.8364 -2.3295 Te
0.0000 0.0000 0.0000 Au
-0.6058 -2.3253 -5.1158 Au

=====

2.
CaPtW, optimized geometry, DFT PBE; magnetic moment = 0.00 μB per cell; SG = Pnma; DFT formation energy = -0.0402 eV per atom
1.0
-5.0272 -3.9337 4.0319
0.0461 -3.2399 -3.1035
5.4538 -3.3270 3.5543
Ca W Pt
4 4 4
Cartesian
-0.4355 -7.4784 6.1790 Ca
-0.7109 -5.5347 0.9025 Ca
0.9082 -3.0222 -1.6964 Ca
1.1837 -4.9659 3.5801 Ca
-1.9842 -5.5562 4.1492 W
1.7902 -8.0380 3.5530 W
2.4569 -4.9445 0.3334 W
-1.3175 -2.4626 0.9297 W
1.2055 -2.8659 1.3881 Pt
3.3486 -6.6242 2.1002 Pt
-0.7327 -7.6347 3.0945 Pt
-2.8758 -3.8764 2.3824 Pt

=====

3.
TbDy2Hg8, optimized geometry, DFT PBE; magnetic moment = 0.00 μB per cell; SG = C2/m; DFT formation energy = -0.3167 eV per atom
1.0
4.9377 0.0000 0.0000
0.0000 7.2286 0.2162
-2.4688 -2.8623 7.4698
Tb Dy Hg
1 2 8
Cartesian
2.4688 0.0000 0.0000 Tb
2.4688 0.8565 4.3376 Dy
0.0000 3.5098 3.3485 Dy
0.0000 1.6311 6.1353 Hg
2.4688 5.5289 2.7725 Hg
2.4688 3.8984 5.4063 Hg
2.4688 -0.7472 7.0978 Hg
0.0000 0.4679 2.2797 Hg
0.0000 -1.1626 4.9135 Hg
2.4688 2.7351 1.5508 Hg
0.0000 5.1135 0.5882 Hg

=====

4.
MnZn2SnN4, optimized geometry, DFT PBE; magnetic moment = 2.74 μB per cell; SG = I-42m; raw formation energy = 0.060 eV per atom
1.0
-2.3704 3.7796 1.5341
-3.5352 -1.0191 -2.9532
0.9808 -3.9327 3.9510
Mn Zn Sn N
1 2 1 4
Cartesian
-2.9529 1.3802 -0.7095 Mn
-2.1714 0.6134 2.3881 Zn
-2.7538 -1.7860 0.1444 Zn
-0.0002 -0.0003 0.0004 Sn
-2.8436 -1.3179 2.1475 N
-3.6870 -0.3172 -0.9563 N
-3.1581 1.8618 1.0814 N
-0.1615 -2.5716 2.7920 N